Record 1
# Sm4OsBr5 | Alexandria | GGA-PBE | relaxed
data_Sm4OsBr5
_cell_length_a 18.7339
_cell_length_b 4.1103
_cell_length_c 8.8582
_cell_angle_alpha 90.00
_cell_angle_beta 104.19
_cell_angle_gamma 90.00
_space_group_name_H-M_alt 'C 1 2/m 1'
_space_group_IT_number 12
_space_group_name_Hall '-C 2y'
loop_
_atom_site_label
_atom_site_type_symbol
_atom_site_fract_x
_atom_site_fract_y
_atom_site_fract_z
Sm1 Sm 0.0010 0.0000 0.2209
Sm2 Sm 0.1468 0.5000 0.0819
Os1 Os 0.0000 0.5000 0.0000
Br1 Br 0.0000 0.5000 0.5000
Br2 Br 0.1684 0.0000 0.3327
Br3 Br 0.1732 0.0000 0.8483
# DFT total energy = -103.71 eV for the cell shown
# Energy relative to the elements, uncorrected = -1.3385 eV/atom



Record 2
# SmThOsBr | Alexandria | GGA-PBE | relaxed
data_SmThOsBr
_cell_length_a 4.1406
_cell_length_b 4.1406
_cell_length_c 23.7031
_cell_angle_alpha 90.00
_cell_angle_beta 90.00
_cell_angle_gamma 120.00
_space_group_name_H-M_alt 'R 3 m'
_space_group_IT_number 160
_space_group_name_Hall 'R 3 -2"'
loop_
_atom_site_label
_atom_site_type_symbol
_atom_site_fract_x
_atom_site_fract_y
_atom_site_fract_z
Sm1 Sm 0.0000 0.0000 0.0000
Th1 Th 0.0000 0.0000 0.7915
Os1 Os 0.0000 0.0000 0.3996
Br1 Br 0.0000 0.0000 0.2304
# DFT total energy = -84.22 eV for the cell shown
# Energy relative to the elements, uncorrected = -0.7583 eV/atom